No. 1
La3Ho8Er: relaxed, PBE.

Output
As for the magnetization: 0.0 μB/f.u. Its calculated formation energy is 0.607 eV per atom.

a b c (Å): 8.8179 8.8179 11.2942
angles (deg): 90.00 90.00 90.00
With the nearest neighbours (Å) after each atom.
Space group I-42m (No. 121)
Asymmetric unit:
La1 0.0000 0.0000 0.0000  8 Ho 3.22-3.28
La2 0.0000 0.5000 0.2500  4 Ho 3.49
Ho1 0.1241 0.1241 0.7438  3 Ho 3.10-3.27, 1 Er 3.16, 1 La 3.28
Ho2 0.2424 0.2424 0.4857  1 Er 3.03, 2 Ho 3.20-3.27, 1 La 3.22
Er1 0.0000 0.0000 0.5000  8 Ho 3.03-3.16

***

No. 2
La12HoEr2: relaxed, PBE.

Output
As for the magnetization: 0.0 μB/f.u. Its calculated formation energy is 0.308 eV per atom.

a b c (Å): 6.6060 6.6060 26.0007
angles (deg): 90.00 90.00 90.00
With the nearest neighbours (Å) after each atom.
Space group P4/nbm (No. 125, origin choice 2)
Asymmetric unit:
La1 0.0714 0.5714 0.1128  7 La 3.34-3.60, 1 Ho 3.38
La2 0.0817 0.5817 0.4376  5 La 3.14-3.47
La3 0.2500 0.2500 0.2151  1 La 3.16
La4 0.2500 0.2500 0.3365  1 La 3.16
Ho1 0.2500 0.7500 0.0000  4 La 3.38
Er1 0.2500 0.7500 0.2730  8 La 3.63-3.69

***

No. 3
La4Ho3Er5: relaxed, PBE.

Output
As for the magnetization: 0.6 μB/f.u. Its calculated formation energy is 0.227 eV per atom.

a b c (Å): 16.2478 5.9741 9.5306
angles (deg): 90.00 118.39 90.00
With the nearest neighbours (Å) after each atom.
Space group C2/m (No. 12)
Asymmetric unit:
La1 0.0892 0.0000 0.4521  2 La 3.43-3.62, 6 Er 3.47-3.84, 1 Ho 3.52
La2 0.2164 0.0000 0.8840  3 Ho 3.42-3.57, 3 La 3.57-3.62, 4 Er 3.71-3.81
Ho1 0.0000 0.5000 0.0000  4 Er 2.99-3.28
Ho2 0.2204 0.0000 0.2458  5 Er 3.21-3.47, 4 La 3.42-3.57
Er1 0.0000 0.0000 0.0000  4 Ho 2.99-3.21
Er2 0.0664 0.5000 0.7077  2 Ho 3.28-3.43, 2 Er 3.49-3.52
Er3 0.1682 0.5000 0.3708  4 Ho 3.22-3.47, 3 La 3.47-3.48, 1 Er 3.52

***

No. 4
La4Ho3Er: relaxed, PBE.

Output
As for the magnetization: 0.0 μB/f.u. Its calculated formation energy is 0.031 eV per atom.

a b c (Å): 5.1459 10.2931 10.2415
angles (deg): 90.00 90.00 90.00
With the nearest neighbours (Å) after each atom.
Space group Pmmn (No. 59, origin choice 2)
Asymmetric unit:
La1 0.2500 0.0000 0.1280  8 La 3.64-3.67, 3 Ho 3.67, 1 Er 3.67
La2 0.2500 0.2500 0.8722  8 La 3.64-3.67, 2 Er 3.68, 2 Ho 3.68
La3 0.2500 0.7500 0.8724  8 La 3.64-3.67, 4 Ho 3.68
Ho1 0.2500 0.0000 0.6160  5 Ho 3.50-3.64, 3 Er 3.50-3.64, 4 La 3.67-3.68
Ho2 0.2500 0.2500 0.3841  2 Er 3.50, 6 Ho 3.50-3.64, 4 La 3.67-3.68
Er1 0.2500 0.7500 0.3841  8 Ho 3.50-3.64, 4 La 3.67-3.68

***

No. 5
La2Ho2Er5: relaxed, PBE.

Output
As for the magnetization: 0.0 μB/f.u. Its calculated formation energy is 0.211 eV per atom.

a b c (Å): 14.9049 11.8369 6.7198
angles (deg): 90.00 90.00 90.00
With the nearest neighbours (Å) after each atom.
Space group Ima2 (No. 46)
Asymmetric unit:
La1 0.1271 0.0007 0.0000  4 Er 3.36-3.57, 2 Ho 3.57-3.61, 1 La 3.66
Ho1 0.0000 0.0000 0.4569  4 Er 3.25-3.60, 2 La 3.61
Ho2 0.2500 0.0106 0.5443  4 Er 3.42-3.65, 2 La 3.57, 2 Ho 3.77
Er1 0.0528 0.7452 0.1417  5 Er 3.17-3.53, 1 Ho 3.25, 1 La 3.36
Er2 0.1431 0.2332 0.3225  4 Er 3.17-3.38, 2 La 3.38-3.51, 1 Ho 3.42
Er3 0.2500 0.7436 0.3505  6 Er 3.26-3.53, 2 Ho 3.42-3.65, 2 La 3.57

***

No. 6
LaHo2Er7: relaxed, PBE.

Output
The value obtained for the energy relative to the lowest polymorph listed for this composition is 0.000 eV/atom. As for the magnetization: 0.0 μB/f.u. Its calculated formation energy is 0.025 eV per atom.

a b c (Å): 6.1162 7.0680 7.9011
angles (deg): 76.99 75.12 73.41
With the nearest neighbours (Å) after each atom.
Space group P-1 (No. 2)
Asymmetric unit:
La1 0.0000 0.0000 0.0000  10 Er 3.53-3.56, 2 Ho 3.55
Ho1 0.2014 0.7988 0.5984  10 Er 3.51-3.55, 1 Ho 3.54, 1 La 3.55
Er1 0.0000 0.5000 0.0000  8 Er 3.53-3.54, 2 La 3.53, 2 Ho 3.54
Er2 0.1996 0.3018 0.5985  7 Er 3.50-3.54, 4 Ho 3.52-3.55, 1 La 3.54
Er3 0.4001 0.1005 0.2020  3 Ho 3.51-3.54, 7 Er 3.52-3.57, 2 La 3.54
Er4 0.4019 0.5978 0.2016  9 Er 3.50-3.55, 2 Ho 3.51-3.52, 1 La 3.56

***

No. 7
LaHoEr: relaxed, PBE.

Output
The value obtained for the energy relative to the lowest polymorph listed for this composition is 0.000 eV/atom. As for the magnetization: 0.0 μB/f.u. Its calculated formation energy is 0.022 eV per atom.

a b c (Å): 3.5984 3.5984 8.7569
angles (deg): 90.00 90.00 120.00
With the nearest neighbours (Å) after each atom.
Space group P3m1 (No. 156)
Asymmetric unit:
La1 0.0000 0.0000 0.0000  6 La 3.60, 3 Er 3.62, 3 Ho 3.63
Ho1 0.6667 0.3333 0.3405  3 Er 3.49, 6 Ho 3.60, 3 La 3.63
Er1 0.3333 0.6667 0.6610  3 Ho 3.49, 6 Er 3.60, 3 La 3.62

***

No. 8
LaHo2Er8: relaxed, PBE.

Output
As for the magnetization: 0.0 μB/f.u. Its calculated formation energy is 0.136 eV per atom.

a b c (Å): 19.0886 6.9142 5.4680
angles (deg): 90.00 92.81 90.00
With the nearest neighbours (Å) after each atom.
Space group C2/m (No. 12)
Asymmetric unit:
La1 0.0000 0.0000 0.0000  10 Er 3.54-3.79
Ho1 0.2152 0.5000 0.2479  11 Er 3.21-3.53
Er1 0.0470 0.5000 0.2390  2 Er 3.10-3.45, 1 Ho 3.21
Er2 0.1347 0.2675 0.7320  4 Er 3.22-3.49, 3 Ho 3.41-3.53, 1 La 3.54
Er3 0.1893 0.0000 0.2350  4 Ho 3.28-3.49, 4 Er 3.43-3.49

***

No. 9
La2Ho2Er15: relaxed, PBE.

Output
As for the magnetization: 0.0 μB/f.u. Its calculated formation energy is 0.290 eV per atom.

a b c (Å): 11.1453 11.1453 17.4513
angles (deg): 90.00 90.00 120.00
With the nearest neighbours (Å) after each atom.
Space group R-3m (No. 166, hexagonal axes)
Asymmetric unit:
La1 0.0000 0.0000 0.1180  6 Er 3.33-3.62, 1 Ho 3.71
Ho1 0.0000 0.0000 0.3308  1 La 3.71, 12 Er 3.88-4.12
Er1 0.0000 0.3061 0.0000  6 Er 3.25-3.41
Er2 0.0000 0.5000 0.5000  2 La 3.33, 8 Er 3.33-3.38
Er3 0.0154 0.5077 0.1390  6 Er 3.22-3.33

***

No. 10
La4Ho5Er4: relaxed, PBE.

Output
As for the magnetization: 0.0 μB/f.u. Its calculated formation energy is 0.034 eV per atom.

a b c (Å): 12.9557 12.9557 5.0818
angles (deg): 90.00 90.00 90.00
With the nearest neighbours (Å) after each atom.
Space group I4/m (No. 87)
Asymmetric unit:
La1 0.1522 0.7713 0.0000  6 Ho 3.56-3.64, 4 Er 3.62-3.63, 2 La 3.63
Ho1 0.0000 0.0000 0.0000  4 La 3.56, 8 Ho 3.60
Ho2 0.0373 0.1928 0.5000  3 Er 3.56-3.62, 5 La 3.56-3.64, 4 Ho 3.60
Er1 0.0769 0.3881 0.0000  5 Er 3.52-3.56, 3 Ho 3.56-3.62, 4 La 3.62-3.63

***

No. 11
La4HoEr: relaxed, PBE.

Output
The value obtained for the energy relative to the lowest polymorph listed for this composition is 0.277 eV/atom. As for the magnetization: 0.0 μB/f.u. Its calculated formation energy is 0.343 eV per atom.

a b c (Å): 6.0080 6.0080 20.2496
angles (deg): 90.00 90.00 120.00
With the nearest neighbours (Å) after each atom.
Space group R-3m (No. 166, hexagonal axes)
Asymmetric unit:
La1 0.0000 0.0000 0.1661  1 Er 3.36, 4 La 3.38-3.47, 3 Ho 3.47
La2 0.0000 0.0000 0.3332  1 Ho 3.38, 4 La 3.38-3.47, 3 Er 3.47
Ho1 0.0000 0.0000 0.5000  8 La 3.38-3.47
Er1 0.0000 0.0000 0.0000  8 La 3.36-3.47

***

No. 12
La5Ho3Er2: relaxed, PBE.

Output
As for the magnetization: 0.0 μB/f.u. Its calculated formation energy is 0.160 eV per atom.

a b c (Å): 10.8532 14.8461 10.1678
angles (deg): 90.00 122.16 90.00
With the nearest neighbours (Å) after each atom.
Space group C2/c (No. 15)
Asymmetric unit:
La1 0.0000 0.0171 0.2500  1 La 3.11, 2 Er 3.46
La2 0.0000 0.2264 0.2500  3 La 3.11-3.45, 2 Ho 3.45, 2 Er 3.47
La3 0.0000 0.4756 0.7500  1 Ho 3.07
La4 0.2478 0.3690 0.2432  2 Ho 3.39-3.77, 3 La 3.45-3.57, 1 Er 3.76
Ho1 0.0000 0.2691 0.7500  3 La 3.07-3.39, 2 Er 3.39
Ho2 0.1542 0.3740 0.5591  1 Er 3.26, 5 La 3.45-3.57, 1 Ho 3.53
Er1 0.1562 0.1301 0.0621  3 Ho 3.26-3.50, 4 La 3.46-3.58